Density functional theory data (PBE-GGA) for an optimized crystal structure of LiTm2N.

Cell and atoms, written as POSCAR:
```
LiTm2N
1.0
3.3662 0.0000 0.0000
-1.6831 2.9152 0.0000
0.0000 0.0000 26.7432
Li Tm N
3 6 3
direct
0.0000 0.0000 0.0000
0.3333 0.6667 0.6667
0.6667 0.3333 0.3333
0.0000 0.0000 0.1172
0.0000 0.0000 0.8828
0.3333 0.6667 0.5495
0.3333 0.6667 0.7839
0.6667 0.3333 0.2161
0.6667 0.3333 0.4505
0.0000 0.0000 0.5000
0.3333 0.6667 0.1667
0.6667 0.3333 0.8333
```

Formation energy without anion corrections = -0.697 eV/atom
N(E_F) = 3.62 states/eV/f.u.
E_tot = -5.493 eV per atom
Total magnetization = 0.16 μB per formula unit